Here is a relaxed TcOs2Rh crystal from Alexandria. Energies are from PBE.

Geometry as extended XYZ:
```
4
Lattice="1.363 0.787 8.927 -1.363 0.787 8.927 0.000 -1.574 8.927" Properties=species:S:1:pos:R:3 pbc="T T T"
Tc 0.000 0.000 0.000
Os 0.000 0.000 6.707
Os 0.000 0.000 20.074
Rh 0.000 0.000 13.391
```

## Properties
- Calculated formation energy: 65 meV per atom
- DOS at the Fermi energy: 1.004 states/eV per atom
- Offset from the most stable computed form: 28 meV/atom
- SG: R-3m (166)